[1]
The following is a DFT calculation (PBE) of a relaxed structure of Er2Pd8Au3.

Uncorrected energy ... -4.916 eV per atom
E_form ... -0.262 eV per atom

a = 5.2506 Å, b = 5.2506 Å, c = 10.6460 Å
α = 75.72°, β = 75.72°, γ = 60.00°
Closest atoms and distances in Å follow each position.
Fractional positions:
Er (0.6349, 0.6349, 0.0952)  4 Pd 2.73
Er (0.3651, 0.3651, 0.9048)  4 Pd 2.73
Pd (0.7242, 0.7242, 0.8273)  1 Er 2.73, 1 Au 2.78, 6 Pd 3.01
Pd (0.2758, 0.2758, 0.1727)  1 Er 2.73, 1 Au 2.78, 6 Pd 3.01
Pd (0.2259, 0.7285, 0.3171)  4 Pd 2.61-2.64, 1 Er 2.73, 1 Au 2.86
Pd (0.7285, 0.2259, 0.3171)  4 Pd 2.61-2.64, 1 Er 2.73, 1 Au 2.86
Pd (0.7285, 0.7285, 0.3171)  4 Pd 2.61-2.64, 1 Er 2.73, 1 Au 2.86
Pd (0.2715, 0.7741, 0.6829)  4 Pd 2.61-2.64, 1 Er 2.73, 1 Au 2.86
Pd (0.7741, 0.2715, 0.6829)  4 Pd 2.61-2.64, 1 Er 2.73, 1 Au 2.86
Pd (0.2715, 0.2715, 0.6829)  4 Pd 2.61-2.64, 1 Er 2.73, 1 Au 2.86
Au (0.0000, 0.0000, 0.0000)  6 Er 3.18, 6 Pd 3.51
Au (0.8150, 0.8150, 0.5550)  10 Pd 2.78-2.93
Au (0.1850, 0.1850, 0.4450)  10 Pd 2.78-2.93

[2]
The following is a DFT calculation (PBE) of a relaxed structure of SrReAs2.

Uncorrected energy ... -6.004 eV per atom
E_form ... -0.147 eV per atom

a = 4.5691 Å, b = 3.9884 Å, c = 6.1453 Å
α = 71.07°, β = 90.00°, γ = 90.00°
Closest atoms and distances in Å follow each position.
Fractional positions:
Re (0.0000, 0.4277, 0.2695)  4 As 2.38-2.43
As (0.0000, 0.0467, 0.0316)  2 Re 2.43
As (0.5000, 0.3690, 0.3869)  2 Re 2.38
Sr (0.5000, 0.6566, 0.8120)  7 As 3.18-3.34, 2 Re 3.51

[3]
The following is a DFT calculation (PBE) of a relaxed structure of Ce2In3Hg2.

Uncorrected energy ... -3.087 eV per atom
E_form ... -0.131 eV per atom

a = 6.1624 Å, b = 3.1762 Å, c = 10.7844 Å
α = 90.00°, β = 72.58°, γ = 90.00°
Closest atoms and distances in Å follow each position.
Fractional positions:
Ce (0.3795, 0.5000, 0.7530)  2 Ce 3.18, 2 Hg 3.33, 6 In 3.37-3.43
Ce (0.6205, 0.5000, 0.2470)  2 Ce 3.18, 2 Hg 3.33, 6 In 3.37-3.43
In (0.2493, 0.0000, 0.5072)  4 In 3.05-3.18, 2 Hg 3.05-3.10, 2 Ce 3.39
In (0.0000, 0.0000, 0.0000)  2 Hg 3.02, 2 In 3.18, 4 Ce 3.37
In (0.7507, 0.0000, 0.4928)  4 In 3.05-3.18, 2 Hg 3.05-3.10, 2 Ce 3.39
Hg (0.1480, 0.0000, 0.2427)  3 In 3.02-3.10, 2 Hg 3.18, 2 Ce 3.33
Hg (0.8520, 0.0000, 0.7573)  3 In 3.02-3.10, 2 Hg 3.18, 2 Ce 3.33